Material: LiCdP2S
Method: DFT, PBE
State: relaxed

Cell lengths 4.3759, 4.3759, 4.7543 Å; angles 90.00, 90.00, 90.00 degrees
Sites, in units of the cell vectors:
Li 0.0000 0.0000 0.0000
Cd 0.5000 0.5000 0.5000
P 0.0000 0.5000 0.0000
P 0.5000 0.0000 0.0000
S 0.0000 0.0000 0.5000

Values from the calculation:
* symmetry: P4/mmm
* uncorrected formation energy: 3.01 eV/f.u.
* relative energy among the computed polymorphs: 0.000 kcal/mol of atoms
* total magnetic moment: 0.0 μB/cell